ZnSeNO2 | GGA-PBE | relaxed

a = 3.7364 Å, b = 3.7364 Å, c = 4.0180 Å
α = 90.00°, β = 90.00°, γ = 90.00°
Closest atoms and distances in Å follow each position.
Element x y z (fractional)
Zn  0.0000  0.0000  0.0000  4 N 2.64, 8 O 2.74
Se  0.5000  0.5000  0.5000  4 O 1.87, 2 N 2.01
N  0.5000  0.5000  0.0000  2 Se 2.01
O  0.0000  0.5000  0.5000  2 Se 1.87
O  0.5000  0.0000  0.5000  2 Se 1.87

## Properties
The value obtained for the total energy is -4.132 eV/atom. As for the crystal system: tetragonal.

ZrSeN2O | GGA-PBE | relaxed

a = 3.9703 Å, b = 3.9703 Å, c = 3.7937 Å
α = 90.00°, β = 90.00°, γ = 90.00°
Closest atoms and distances in Å follow each position.
Element x y z (fractional)
Zr  0.0000  0.0000  0.0000  8 N 2.75, 4 Se 2.81
Se  0.5000  0.5000  0.0000  2 O 1.90
N  0.0000  0.5000  0.5000  2 O 1.99
N  0.5000  0.0000  0.5000  2 O 1.99
O  0.5000  0.5000  0.5000  2 Se 1.90, 4 N 1.99

## Properties
The value obtained for the total energy is -5.798 eV/atom. As for the crystal system: tetragonal.